No. 1
Material: Ba2Mg3Zn4
Method: DFT, PBE
State: relaxed

The structure in POSCAR format:
```
Ba2Mg3Zn4
1.0
3.181 -8.628 0.000
3.181 8.628 0.000
0.000 0.000 8.659
Ba Mg Zn
4 6 8
Direct
0.111 0.889 0.909 Ba
0.389 0.611 0.409 Ba
0.611 0.389 0.591 Ba
0.889 0.111 0.091 Ba
0.000 0.000 0.500 Mg
0.032 0.468 0.750 Mg
0.468 0.032 0.250 Mg
0.500 0.500 0.000 Mg
0.532 0.968 0.750 Mg
0.968 0.532 0.250 Mg
0.184 0.816 0.522 Zn
0.195 0.305 0.750 Zn
0.305 0.195 0.250 Zn
0.316 0.684 0.022 Zn
0.684 0.316 0.978 Zn
0.695 0.805 0.750 Zn
0.805 0.695 0.250 Zn
0.816 0.184 0.478 Zn
```

SG: Cmce (64)
Crystal system: orthorhombic

=====

No. 2
Material: Ba4MgZn3
Method: DFT, PBE
State: relaxed

The structure in POSCAR format:
```
Ba4MgZn3
1.0
5.878 0.000 0.000
0.000 5.878 0.000
0.000 0.000 8.417
Ba Mg Zn
4 1 3
Direct
0.000 0.500 0.239 Ba
0.000 0.500 0.761 Ba
0.500 0.000 0.239 Ba
0.500 0.000 0.761 Ba
0.000 0.000 0.500 Mg
0.000 0.000 0.000 Zn
0.500 0.500 0.000 Zn
0.500 0.500 0.500 Zn
```

SG: P4/mmm (123)
Crystal system: tetragonal

=====

No. 3
Material: Ba6Mg5Zn
Method: DFT, PBE
State: relaxed

The structure in POSCAR format:
```
Ba6Mg5Zn
1.0
3.059 -9.193 0.000
3.059 9.193 0.000
0.000 0.000 8.628
Ba Mg Zn
6 5 1
Direct
0.000 0.000 0.240 Ba
0.000 0.000 0.760 Ba
0.338 0.662 0.245 Ba
0.338 0.662 0.755 Ba
0.662 0.338 0.245 Ba
0.662 0.338 0.755 Ba
0.169 0.831 0.500 Mg
0.174 0.826 0.000 Mg
0.500 0.500 0.500 Mg
0.826 0.174 0.000 Mg
0.831 0.169 0.500 Mg
0.500 0.500 0.000 Zn
```

SG: Cmmm (65)
Crystal system: orthorhombic

=====

No. 4
Material: Ba3Mg6Zn5
Method: DFT, PBE
State: relaxed

The structure in POSCAR format:
```
Ba3Mg6Zn5
1.0
4.608 0.000 0.000
0.000 13.764 0.000
0.000 0.000 12.377
Ba Mg Zn
6 12 10
Direct
0.250 0.093 0.247 Ba
0.250 0.407 0.247 Ba
0.250 0.750 0.261 Ba
0.750 0.250 0.739 Ba
0.750 0.593 0.753 Ba
0.750 0.907 0.753 Ba
0.250 0.051 0.576 Mg
0.250 0.250 0.493 Mg
0.250 0.250 0.985 Mg
0.250 0.449 0.576 Mg
0.250 0.580 0.008 Mg
0.250 0.920 0.008 Mg
0.750 0.080 0.992 Mg
0.750 0.420 0.992 Mg
0.750 0.551 0.424 Mg
0.750 0.750 0.015 Mg
0.750 0.750 0.507 Mg
0.750 0.949 0.424 Mg
0.250 0.079 0.849 Zn
0.250 0.421 0.849 Zn
0.250 0.648 0.528 Zn
0.250 0.750 0.882 Zn
0.250 0.852 0.528 Zn
0.750 0.148 0.472 Zn
0.750 0.250 0.118 Zn
0.750 0.352 0.472 Zn
0.750 0.579 0.151 Zn
0.750 0.921 0.151 Zn
```

SG: Pmmn (59)
Crystal system: orthorhombic

=====

No. 5
Material: BaMg10Zn2
Method: DFT, PBE
State: relaxed

The structure in POSCAR format:
```
BaMg10Zn2
1.0
0.000 7.225 7.305
2.933 0.000 7.305
2.933 7.225 0.000
Ba Mg Zn
1 10 2
Direct
0.000 0.000 0.000 Ba
0.000 0.000 0.500 Mg
0.011 0.352 0.648 Mg
0.277 0.489 0.511 Mg
0.352 0.011 0.989 Mg
0.489 0.277 0.723 Mg
0.500 0.500 0.000 Mg
0.511 0.723 0.277 Mg
0.648 0.989 0.011 Mg
0.723 0.511 0.489 Mg
0.989 0.648 0.352 Mg
0.000 0.500 0.000 Zn
0.500 0.000 0.500 Zn
```

SG: Fmmm (69)
Crystal system: orthorhombic

=====

No. 6
Material: BaMgZn2
Method: DFT, PBE
State: relaxed

The structure in POSCAR format:
```
BaMgZn2
1.0
3.561 0.000 0.000
0.000 3.799 0.000
-0.055 0.000 7.564
Ba Mg Zn
1 1 2
Direct
0.000 0.000 0.000 Ba
0.000 0.000 0.500 Mg
0.499 0.500 0.685 Zn
0.501 0.500 0.315 Zn
```

SG: P2/m (10)
Crystal system: monoclinic

=====

Number 1: energy relative to the elements -0.097 eV per atom. Number 2: energy relative to the elements -0.119 eV per atom. Number 3: energy relative to the elements -0.068 eV per atom. Number 4: energy relative to the elements -0.118 eV per atom. Number 5: energy relative to the elements -0.075 eV per atom. Number 6: energy relative to the elements -0.065 eV per atom.